The following is a DFT calculation (PBE) of a geometry-optimized RbTlHgBr6 structure.

abc: 7.341 7.341 7.640
angles: 90.03 90.03 120.05
Element x y z (fractional)
Rb 0.000 0.000 0.000
Tl 0.333 0.667 0.500
Hg 0.667 0.333 0.500
Br 0.005 0.377 0.285
Br 0.005 0.628 0.715
Br 0.372 0.377 0.715
Br 0.372 0.995 0.285
Br 0.623 0.628 0.285
Br 0.623 0.995 0.715

- Symmetry: C2, No. 5
- Energy relative to the elements, uncorrected: -0.740 eV per atom
- M_tot: 0.00 μB/f.u.
- Electronic total energy: -2.260 eV/atom